Here is crystalline Pm12Tm7Zr at its relaxed geometry from Alexandria. Energies are from PBE.

Properties
Energy of formation from the pure elements in eV per atom: 0.222
Symmetry: R-3m
Spin magnetization in μB/f.u.: 0.00

Geometry as POSCAR:
```
Pm12Tm7Zr
1.0
9.7513 5.6299 2.0423
-9.7513 5.6299 2.0423
0.0000 -11.2598 2.0423
Pm Tm Zr
12 7 1
Cartesian
-4.0287 -4.2819 2.0423 Pm
-5.7225 -1.3480 2.0423 Pm
0.0000 -3.9678 1.1743 Pm
-3.4362 1.9839 1.1743 Pm
4.0287 -4.2818 2.0423 Pm
-1.6938 5.6299 2.0423 Pm
3.4362 1.9839 1.1743 Pm
-3.4362 -1.9839 4.9525 Pm
5.7225 -1.3481 2.0423 Pm
1.6938 5.6299 2.0423 Pm
3.4362 -1.9839 4.9525 Pm
0.0000 3.9678 4.9525 Pm
0.0000 0.0000 0.0000 Tm
-2.3399 -1.3510 1.8630 Tm
2.3399 -1.3510 1.8630 Tm
0.0000 2.7019 1.8630 Tm
0.0000 -2.7019 4.2638 Tm
-2.3399 1.3510 4.2638 Tm
2.3399 1.3510 4.2638 Tm
0.0000 0.0000 3.0634 Zr
```

---

Here is crystalline SrLaAs2Se at its relaxed geometry from Alexandria. Energies are from PBE.

Properties
Energy relative to the elements, uncorrected in eV/atom: -0.5519
E above lowest polymorph in eV per atom: 0.000
Symmetry: P4/mmm
Spin magnetization in μB/f.u.: 0.00

Geometry as POSCAR:
```
SrLaAs2Se
1.0
5.6197 0.0000 0.0000
0.0000 5.6197 0.0000
0.0000 0.0000 5.7007
Sr La As Se
1 1 2 1
Cartesian
0.0000 0.0000 0.0000 Sr
2.8098 2.8098 2.8504 La
0.0000 2.8098 2.8504 As
2.8098 0.0000 2.8504 As
2.8098 2.8098 0.0000 Se
```

---

Here is crystalline MnHg2Au2 at its relaxed geometry from Alexandria. Energies are from PBE.

Properties
Energy of formation from the pure elements in eV per atom: 0.197
Symmetry: P4/mbm
Spin magnetization in μB/f.u.: 4.38

Geometry as POSCAR:
```
MnHg2Au2
1.0
7.0609 0.0000 0.0000
0.0000 7.0609 0.0000
0.0000 0.0000 4.1822
Mn Hg Au
2 4 4
Cartesian
0.0000 0.0000 0.0000 Mn
3.5304 3.5304 0.0000 Mn
1.1776 2.3528 2.0911 Hg
2.3528 5.8833 2.0911 Hg
4.7081 1.1776 2.0911 Hg
5.8833 4.7081 2.0911 Hg
0.9982 4.5287 0.0000 Au
2.5322 0.9982 0.0000 Au
4.5287 6.0627 0.0000 Au
6.0627 2.5322 0.0000 Au
```

---

Here is crystalline PmGe4Pt4 at its relaxed geometry from Alexandria. Energies are from PBE.

Properties
Energy of formation from the pure elements in eV per atom: -0.586
Symmetry: P4_2/nmc
Spin magnetization in μB/f.u.: 0.00

Geometry as POSCAR:
```
PmGe4Pt4
1.0
6.4087 0.0000 0.0000
0.0000 6.4087 0.0000
0.0000 0.0000 8.2860
Pm Ge Pt
2 8 8
Cartesian
1.6022 4.8065 2.0715 Pm
4.8065 1.6022 6.2145 Pm
0.0860 1.6022 1.0587 Ge
1.6022 0.0860 5.2017 Ge
1.6022 3.1184 5.2017 Ge
3.1184 1.6022 1.0587 Ge
3.2903 4.8065 7.2273 Ge
4.8065 3.2903 3.0843 Ge
4.8065 6.3227 3.0843 Ge
6.3227 4.8065 7.2273 Ge
0.2274 1.6022 3.5806 Pt
1.6022 0.2274 7.7236 Pt
1.6022 2.9769 7.7236 Pt
2.9769 1.6022 3.5806 Pt
3.4318 4.8065 4.7054 Pt
4.8065 3.4318 0.5624 Pt
4.8065 6.1813 0.5624 Pt
6.1813 4.8065 4.7054 Pt
```

---

Here is crystalline KRuIO2 at its relaxed geometry from Alexandria. Energies are from PBE.

Properties
Energy relative to the elements, uncorrected in eV/atom: -0.4884
E above lowest polymorph in eV per atom: 0.000
Symmetry: P4/mmm
Spin magnetization in μB/f.u.: 1.02

Geometry as POSCAR:
```
KRuIO2
1.0
4.1182 0.0000 0.0000
0.0000 4.1182 0.0000
0.0000 0.0000 5.6412
K Ru I O
1 1 1 2
Cartesian
0.0000 0.0000 0.0000 K
2.0591 2.0591 2.8206 Ru
2.0591 2.0591 0.0000 I
0.0000 2.0591 2.8206 O
2.0591 0.0000 2.8206 O
```

---

Here is crystalline NaPdAu2 at its relaxed geometry from Alexandria. Energies are from PBE.

Properties
Energy of formation from the pure elements in eV per atom: -0.195
Symmetry: P4/mmm
Spin magnetization in μB/f.u.: 0.00

Geometry as POSCAR:
```
NaPdAu2
1.0
4.7069 0.0000 0.0000
0.0000 4.7069 0.0000
0.0000 0.0000 3.2127
Na Pd Au
1 1 2
Cartesian
0.0000 0.0000 0.0000 Na
2.3535 2.3535 0.0000 Pd
0.0000 2.3535 1.6063 Au
2.3535 0.0000 1.6063 Au
```

---

| no. | total energy (eV/atom) | V (Å³/atom) |
| --- | --- | --- |
| 1 | -4.6204 | 33.64 |
| 2 | -4.4305 | 36.01 |
| 3 | -3.0687 | 20.85 |
| 4 | -5.8511 | 18.91 |
| 5 | -4.8564 | 19.14 |
| 6 | -3.4621 | 17.79 |